Record 1
# YZr2Pt2 (PBE-GGA, optimized geometry)
# Density of states at the Fermi level, states/eV/f.u.: 4.52
# Total DFT energy (no corrections), eV per cell: -78.41
# Energy of formation, eV/atom: -0.71
# ρ, g/cm3: 10.59
# Total magnetic moment, μB/atom: 0.00
# E above lowest polymorph, eV/atom: 0.153
data_YZr2Pt2
_space_group_name_H-M_alt 'P 4/m b m'
_space_group_IT_number 127
_space_group_name_Hall '-P 4 2ab'
_cell_length_a 8.013
_cell_length_b 8.013
_cell_length_c 3.230
_cell_angle_alpha 90.00
_cell_angle_beta 90.00
_cell_angle_gamma 90.00
loop_
_atom_site_label
_atom_site_fract_x
_atom_site_fract_y
_atom_site_fract_z
Y1 0.000 0.000 0.000
Zr1 0.150 0.350 0.000
Pt1 0.147 0.647 0.500

Record 2
# YZr2Pt (PBE-GGA, optimized geometry)
# Density of states at the Fermi level, states/eV/f.u.: 4.32
# Total DFT energy (no corrections), eV per cell: -31.69
# Energy of formation, eV/atom: -0.52
# ρ, g/cm3: 8.52
# Total magnetic moment, μB/atom: 0.00
# E above lowest polymorph, eV/atom: 0.000
data_YZr2Pt
_space_group_name_H-M_alt 'P 4 m m'
_space_group_IT_number 99
_cell_length_a 3.402
_cell_length_b 3.402
_cell_length_c 7.857
_cell_angle_alpha 90.00
_cell_angle_beta 90.00
_cell_angle_gamma 90.00
loop_
_space_group_symop_operation_xyz
'x,y,z'
'-y,x,z'
'-x,-y,z'
'y,-x,z'
'-x,y,z'
'y,x,z'
'x,-y,z'
'-y,-x,z'
loop_
_atom_site_label
_atom_site_fract_x
_atom_site_fract_y
_atom_site_fract_z
Y1 0.000 0.000 0.000
Zr1 0.000 0.000 0.562
Zr2 0.500 0.500 0.306
Pt1 0.500 0.500 0.757

Record 3
# Y2ZrPt (PBE-GGA, optimized geometry)
# Density of states at the Fermi level, states/eV/f.u.: 4.04
# Total DFT energy (no corrections), eV per cell: -58.46
# Energy of formation, eV/atom: -0.43
# ρ, g/cm3: 7.92
# Total magnetic moment, μB/atom: 0.00
# E above lowest polymorph, eV/atom: 0.122
data_Y2ZrPt
_space_group_name_H-M_alt 'I m m m'
_space_group_IT_number 71
_space_group_name_Hall '-I 2 2'
_cell_length_a 3.705
_cell_length_b 5.036
_cell_length_c 10.425
_cell_angle_alpha 90.00
_cell_angle_beta 90.00
_cell_angle_gamma 90.00
loop_
_atom_site_label
_atom_site_fract_x
_atom_site_fract_y
_atom_site_fract_z
Y1 0.000 0.000 0.209
Zr1 0.000 0.500 0.000
Pt1 0.000 0.500 0.500

Record 4
# Y2ZrPt (PBE-GGA, optimized geometry)
# Density of states at the Fermi level, states/eV/f.u.: 3.70
# Total DFT energy (no corrections), eV per cell: -113.89
# Energy of formation, eV/atom: -0.24
# ρ, g/cm3: 7.34
# Total magnetic moment, μB/atom: 0.08
# E above lowest polymorph, eV/atom: 0.310
data_Y2ZrPt
_space_group_name_H-M_alt 'I -4 2 d'
_space_group_IT_number 122
_space_group_name_Hall 'I -4 2bw'
_cell_length_a 8.305
_cell_length_b 8.305
_cell_length_c 6.092
_cell_angle_alpha 90.00
_cell_angle_beta 90.00
_cell_angle_gamma 90.00
loop_
_atom_site_label
_atom_site_fract_x
_atom_site_fract_y
_atom_site_fract_z
Y1 0.195 0.750 0.125
Zr1 0.000 0.000 0.500
Pt1 0.000 0.000 0.000